Arrangement w

# PBEsol SrBe2Ir, relaxed
data_SrBe2Ir
_chemical_formula_sum 'Sr1 Be2 Ir1'
_cell_length_a 3.938
_cell_length_b 3.938
_cell_length_c 5.680
_cell_angle_alpha 110.13
_cell_angle_beta 110.13
_cell_angle_gamma 59.87
_symmetry_space_group_name_H-M 'P 1'
_symmetry_Int_Tables_number 1
loop_
_symmetry_equiv_pos_as_xyz
'x,y,z'
loop_
_atom_site_label
_atom_site_fract_x
_atom_site_fract_y
_atom_site_fract_z
Sr1 0.000 0.000 0.000
Be1 0.184 0.184 0.552
Be2 0.816 0.816 0.448
Ir1 0.500 0.500 0.500
# SG: C2/m, No. 12

---

Arrangement x

# PBEsol SrBe2Ir, relaxed
data_SrBe2Ir
_chemical_formula_sum 'Sr1 Be2 Ir1'
_cell_length_a 4.380
_cell_length_b 3.796
_cell_length_c 4.784
_cell_angle_alpha 90.00
_cell_angle_beta 91.93
_cell_angle_gamma 90.00
_symmetry_space_group_name_H-M 'P 1'
_symmetry_Int_Tables_number 1
loop_
_symmetry_equiv_pos_as_xyz
'x,y,z'
loop_
_atom_site_label
_atom_site_fract_x
_atom_site_fract_y
_atom_site_fract_z
Sr1 0.000 0.000 0.000
Be1 0.448 0.000 0.508
Be2 0.705 0.500 0.486
Ir1 0.206 0.500 0.506
# SG: Pm, No. 6

---

How do the energies compare? Relative to the most stable structure, in meV/atom: arrangement w 0; arrangement x 306.

---

Arrangement w

# PBEsol BeTeIr2, relaxed
data_BeTeIr2
_chemical_formula_sum 'Be1 Te1 Ir2'
_cell_length_a 3.241
_cell_length_b 3.241
_cell_length_c 5.856
_cell_angle_alpha 90.00
_cell_angle_beta 90.00
_cell_angle_gamma 90.00
_symmetry_space_group_name_H-M 'P 1'
_symmetry_Int_Tables_number 1
loop_
_symmetry_equiv_pos_as_xyz
'x,y,z'
loop_
_atom_site_label
_atom_site_fract_x
_atom_site_fract_y
_atom_site_fract_z
Be1 0.000 0.000 0.000
Te1 0.500 0.500 0.624
Ir1 0.000 0.000 0.399
Ir2 0.500 0.500 0.068
# SG: P4mm, No. 99

---

Arrangement x

# PBEsol BeTeIr2, relaxed
data_BeTeIr2
_chemical_formula_sum 'Be1 Te1 Ir2'
_cell_length_a 4.558
_cell_length_b 4.558
_cell_length_c 4.558
_cell_angle_alpha 126.99
_cell_angle_beta 126.99
_cell_angle_gamma 78.27
_symmetry_space_group_name_H-M 'P 1'
_symmetry_Int_Tables_number 1
loop_
_symmetry_equiv_pos_as_xyz
'x,y,z'
loop_
_atom_site_label
_atom_site_fract_x
_atom_site_fract_y
_atom_site_fract_z
Be1 0.000 0.000 0.000
Te1 0.500 0.500 0.000
Ir1 0.250 0.750 0.500
Ir2 0.750 0.250 0.500
# SG: I4/mmm, No. 139

---

Arrangement y

# PBEsol BeTeIr2, relaxed
data_BeTeIr2
_chemical_formula_sum 'Be2 Te2 Ir4'
_cell_length_a 8.584
_cell_length_b 8.584
_cell_length_c 8.584
_cell_angle_alpha 153.09
_cell_angle_beta 153.09
_cell_angle_gamma 38.42
_symmetry_space_group_name_H-M 'P 1'
_symmetry_Int_Tables_number 1
loop_
_symmetry_equiv_pos_as_xyz
'x,y,z'
loop_
_atom_site_label
_atom_site_fract_x
_atom_site_fract_y
_atom_site_fract_z
Be1 0.000 0.000 0.000
Be2 0.750 0.250 0.500
Te1 0.250 0.750 0.500
Te2 0.500 0.500 0.000
Ir1 0.091 0.625 0.966
Ir2 0.375 0.341 0.466
Ir3 0.659 0.125 0.034
Ir4 0.875 0.909 0.534
# SG: I-42d, No. 122

---

How do the energies compare? Relative to the most stable structure, in meV/atom: arrangement w 0; arrangement x 21; arrangement y 72.

---

Arrangement w

# PBEsol BeTl2Ir, relaxed
data_BeTl2Ir
_chemical_formula_sum 'Be1 Tl2 Ir1'
_cell_length_a 3.155
_cell_length_b 4.493
_cell_length_c 5.139
_cell_angle_alpha 90.00
_cell_angle_beta 91.77
_cell_angle_gamma 90.00
_symmetry_space_group_name_H-M 'P 1'
_symmetry_Int_Tables_number 1
loop_
_symmetry_equiv_pos_as_xyz
'x,y,z'
loop_
_atom_site_label
_atom_site_fract_x
_atom_site_fract_y
_atom_site_fract_z
Be1 0.000 0.000 0.000
Tl1 0.225 0.500 0.246
Tl2 0.775 0.500 0.754
Ir1 0.500 0.000 0.500
# SG: P2/m, No. 10

---

Arrangement x

# PBEsol BeTl2Ir, relaxed
data_BeTl2Ir
_chemical_formula_sum 'Be1 Tl2 Ir1'
_cell_length_a 5.087
_cell_length_b 5.087
_cell_length_c 5.087
_cell_angle_alpha 132.82
_cell_angle_beta 132.82
_cell_angle_gamma 68.93
_symmetry_space_group_name_H-M 'P 1'
_symmetry_Int_Tables_number 1
loop_
_symmetry_equiv_pos_as_xyz
'x,y,z'
loop_
_atom_site_label
_atom_site_fract_x
_atom_site_fract_y
_atom_site_fract_z
Be1 0.000 0.000 0.000
Tl1 0.250 0.750 0.500
Tl2 0.500 0.500 0.000
Ir1 0.750 0.250 0.500
# SG: I-4m2, No. 119

---

How do the energies compare? Relative to the most stable structure, in meV/atom: arrangement w 100; arrangement x 0.

---

Arrangement w

# PBEsol Be2IrW, relaxed
data_Be2IrW
_chemical_formula_sum 'Be2 Ir1 W1'
_cell_length_a 4.163
_cell_length_b 4.163
_cell_length_c 4.665
_cell_angle_alpha 102.81
_cell_angle_beta 102.81
_cell_angle_gamma 38.19
_symmetry_space_group_name_H-M 'P 1'
_symmetry_Int_Tables_number 1
loop_
_symmetry_equiv_pos_as_xyz
'x,y,z'
loop_
_atom_site_label
_atom_site_fract_x
_atom_site_fract_y
_atom_site_fract_z
Be1 0.243 0.243 0.211
Be2 0.757 0.757 0.789
Ir1 0.500 0.500 0.000
W1 0.000 0.000 0.500
# SG: C2/m, No. 12

---

Arrangement x

# PBEsol Be2IrW, relaxed
data_Be2IrW
_chemical_formula_sum 'Be2 Ir1 W1'
_cell_length_a 2.793
_cell_length_b 3.900
_cell_length_c 4.498
_cell_angle_alpha 90.00
_cell_angle_beta 90.00
_cell_angle_gamma 90.00
_symmetry_space_group_name_H-M 'P 1'
_symmetry_Int_Tables_number 1
loop_
_symmetry_equiv_pos_as_xyz
'x,y,z'
loop_
_atom_site_label
_atom_site_fract_x
_atom_site_fract_y
_atom_site_fract_z
Be1 0.000 0.000 0.000
Be2 0.500 0.000 0.500
Ir1 0.000 0.500 0.500
W1 0.500 0.500 0.000
# SG: Pmmm, No. 47

---

How do the energies compare? Relative to the most stable structure, in meV/atom: arrangement w 0; arrangement x 25.

---

Arrangement w

# PBEsol ZrBe2Ir, relaxed
data_ZrBe2Ir
_chemical_formula_sum 'Zr1 Be2 Ir1'
_cell_length_a 4.174
_cell_length_b 4.174
_cell_length_c 2.997
_cell_angle_alpha 90.00
_cell_angle_beta 90.00
_cell_angle_gamma 99.85
_symmetry_space_group_name_H-M 'P 1'
_symmetry_Int_Tables_number 1
loop_
_symmetry_equiv_pos_as_xyz
'x,y,z'
loop_
_atom_site_label
_atom_site_fract_x
_atom_site_fract_y
_atom_site_fract_z
Zr1 0.000 0.000 0.000
Be1 0.000 0.500 0.500
Be2 0.500 0.000 0.500
Ir1 0.500 0.500 0.000
# SG: Cmmm, No. 65

---

Arrangement x

# PBEsol ZrBe2Ir, relaxed
data_ZrBe2Ir
_chemical_formula_sum 'Zr1 Be2 Ir1'
_cell_length_a 3.734
_cell_length_b 3.734
_cell_length_c 3.887
_cell_angle_alpha 90.00
_cell_angle_beta 90.00
_cell_angle_gamma 90.00
_symmetry_space_group_name_H-M 'P 1'
_symmetry_Int_Tables_number 1
loop_
_symmetry_equiv_pos_as_xyz
'x,y,z'
loop_
_atom_site_label
_atom_site_fract_x
_atom_site_fract_y
_atom_site_fract_z
Zr1 0.000 0.000 0.000
Be1 0.000 0.500 0.500
Be2 0.500 0.000 0.500
Ir1 0.500 0.500 0.000
# SG: P4/mmm, No. 123

---

How do the energies compare? Relative to the most stable structure, in meV/atom: arrangement w 68; arrangement x 0.

---

Arrangement w

# PBEsol ZrBe2Ir, relaxed
data_ZrBe2Ir
_chemical_formula_sum 'Zr1 Be2 Ir1'
_cell_length_a 3.644
_cell_length_b 4.883
_cell_length_c 4.883
_cell_angle_alpha 35.54
_cell_angle_beta 90.00
_cell_angle_gamma 90.00
_symmetry_space_group_name_H-M 'P 1'
_symmetry_Int_Tables_number 1
loop_
_symmetry_equiv_pos_as_xyz
'x,y,z'
loop_
_atom_site_label
_atom_site_fract_x
_atom_site_fract_y
_atom_site_fract_z
Zr1 0.000 0.000 0.000
Be1 0.000 0.268 0.268
Be2 0.500 0.383 0.383
Ir1 0.500 0.689 0.689
# SG: Amm2, No. 38

---

Arrangement x

# PBEsol ZrBe2Ir, relaxed
data_ZrBe2Ir
_chemical_formula_sum 'Zr1 Be2 Ir1'
_cell_length_a 4.868
_cell_length_b 4.868
_cell_length_c 4.868
_cell_angle_alpha 45.71
_cell_angle_beta 45.71
_cell_angle_gamma 45.71
_symmetry_space_group_name_H-M 'P 1'
_symmetry_Int_Tables_number 1
loop_
_symmetry_equiv_pos_as_xyz
'x,y,z'
loop_
_atom_site_label
_atom_site_fract_x
_atom_site_fract_y
_atom_site_fract_z
Zr1 0.000 0.000 0.000
Be1 0.207 0.207 0.207
Be2 0.793 0.793 0.793
Ir1 0.500 0.500 0.500
# SG: R-3m, No. 166

---

Arrangement y

# PBEsol ZrBe2Ir, relaxed
data_ZrBe2Ir
_chemical_formula_sum 'Zr1 Be2 Ir1'
_cell_length_a 4.525
_cell_length_b 4.525
_cell_length_c 4.525
_cell_angle_alpha 132.65
_cell_angle_beta 125.33
_cell_angle_gamma 75.18
_symmetry_space_group_name_H-M 'P 1'
_symmetry_Int_Tables_number 1
loop_
_symmetry_equiv_pos_as_xyz
'x,y,z'
loop_
_atom_site_label
_atom_site_fract_x
_atom_site_fract_y
_atom_site_fract_z
Zr1 0.000 0.000 0.000
Be1 0.271 0.771 0.500
Be2 0.465 0.465 0.000
Ir1 0.737 0.237 0.500
# SG: Imm2, No. 44

---

How do the energies compare? Relative to the most stable structure, in meV/atom: arrangement w 32; arrangement x 0; arrangement y 218.